1.
# LiYb2Ga (GGA-PBE, relaxed)
# D(E_F), states/eV per cell: 16.173
# Calculated total energy, eV/atom: -2.258
# Calculated formation energy, eV/atom: -0.260
# SG: Fm-3m
data_LiYb2Ga
_symmetry_space_group_name_H-M 'P 1'
_symmetry_Int_Tables_number 1
_cell_length_a 7.4295
_cell_length_b 7.4295
_cell_length_c 7.4295
_cell_angle_alpha 90.00
_cell_angle_beta 90.00
_cell_angle_gamma 90.00
loop_
_symmetry_equiv_pos_as_xyz
'x,y,z'
loop_
_atom_site_label
_atom_site_type_symbol
_atom_site_fract_x
_atom_site_fract_y
_atom_site_fract_z
Li1 Li 0.0000 0.0000 0.0000
Li2 Li 0.0000 0.5000 0.5000
Li3 Li 0.5000 0.0000 0.5000
Li4 Li 0.5000 0.5000 0.0000
Yb1 Yb 0.2500 0.2500 0.2500
Yb2 Yb 0.2500 0.2500 0.7500
Yb3 Yb 0.2500 0.7500 0.2500
Yb4 Yb 0.2500 0.7500 0.7500
Yb5 Yb 0.7500 0.2500 0.2500
Yb6 Yb 0.7500 0.2500 0.7500
Yb7 Yb 0.7500 0.7500 0.2500
Yb8 Yb 0.7500 0.7500 0.7500
Ga1 Ga 0.0000 0.0000 0.5000
Ga2 Ga 0.0000 0.5000 0.0000
Ga3 Ga 0.5000 0.0000 0.0000
Ga4 Ga 0.5000 0.5000 0.5000


2.
# Li4ZnGa4 (GGA-PBE, relaxed)
# D(E_F), states/eV per cell: 1.301
# Calculated total energy, eV/atom: -2.585
# Calculated formation energy, eV/atom: -0.247
# SG: I4/mmm
data_Li4ZnGa4
_symmetry_space_group_name_H-M 'P 1'
_symmetry_Int_Tables_number 1
_cell_length_a 6.4821
_cell_length_b 6.4821
_cell_length_c 6.4821
_cell_angle_alpha 94.71
_cell_angle_beta 94.71
_cell_angle_gamma 146.71
loop_
_symmetry_equiv_pos_as_xyz
'x,y,z'
loop_
_atom_site_label
_atom_site_type_symbol
_atom_site_fract_x
_atom_site_fract_y
_atom_site_fract_z
Li1 Li 0.1672 0.1672 0.3344
Li2 Li 0.1672 0.8328 0.0000
Li3 Li 0.8328 0.1672 0.0000
Li4 Li 0.8328 0.8328 0.6656
Zn1 Zn 0.5000 0.5000 0.0000
Ga1 Ga 0.1681 0.5000 0.6681
Ga2 Ga 0.5000 0.1681 0.6681
Ga3 Ga 0.5000 0.8319 0.3319
Ga4 Ga 0.8319 0.5000 0.3319